[1]
Here is ZrCdHg at its PBEsol-relaxed geometry from Alexandria via LeMat-Bulk. Energies are from SCAN.

abc: 4.760 4.760 3.113
angles: 90.00 90.00 120.00
Fractional coordinates of all 3 atoms:
Zr 0.000 0.000 0.000
Cd 0.667 0.333 0.500
Hg 0.333 0.667 0.500

The calculation puts the total energy at -43.317 eV/atom. As for the space group: P-6m2, No. 187. The value obtained for the formation energy is -0.2238 eV/atom. As for the calculated volume: 20.4 A^3/atom. Its crystal system is hexagonal.


[2]
Here is ZrCdHg at its PBEsol-relaxed geometry from Alexandria via LeMat-Bulk. Energies are from SCAN.

abc: 6.490 6.490 6.490
angles: 90.00 90.00 90.00
Fractional coordinates of all 12 atoms:
Zr 0.000 0.000 0.000
Zr 0.000 0.500 0.500
Zr 0.500 0.000 0.500
Zr 0.500 0.500 0.000
Cd 0.250 0.250 0.750
Cd 0.250 0.750 0.250
Cd 0.750 0.250 0.250
Cd 0.750 0.750 0.750
Hg 0.000 0.000 0.500
Hg 0.000 0.500 0.000
Hg 0.500 0.000 0.000
Hg 0.500 0.500 0.500

The calculation puts the total energy at -43.045 eV/atom. As for the space group: F-43m, No. 216. The value obtained for the formation energy is 0.0482 eV/atom. As for the calculated volume: 22.8 A^3/atom. Its crystal system is cubic.


[3]
Here is ZrCdHg at its PBEsol-relaxed geometry from Alexandria via LeMat-Bulk. Energies are from SCAN.

abc: 3.123 3.123 12.561
angles: 90.00 90.00 90.00
Fractional coordinates of all 6 atoms:
Zr 0.000 0.000 0.000
Zr 0.500 0.500 0.500
Cd 0.000 0.000 0.329
Cd 0.500 0.500 0.829
Hg 0.000 0.000 0.664
Hg 0.500 0.500 0.164

The calculation puts the total energy at -43.317 eV/atom. As for the space group: I4mm, No. 107. The value obtained for the formation energy is -0.2243 eV/atom. As for the calculated volume: 20.4 A^3/atom. Its crystal system is tetragonal.